{"formula": "Cr2InSi", "functional": "PBE", "state": "relaxed", "lattice_angstrom": [[4.474, 0.000, 0.000], [2.237, 3.874, 0.000], [2.237, 1.291, 3.653]], "species": ["Cr", "Cr", "In", "Si"], "fractional_positions": [[0.000, 0.000, 0.000], [0.250, 0.250, 0.250], [0.500, 0.500, 0.500], [0.750, 0.750, 0.750]], "formation_energy_uncorrected_mev_per_atom": 442, "m_tot_mub_per_cell": 0.53}



{"formula": "CrInSi2", "functional": "PBE", "state": "relaxed", "lattice_angstrom": [[-0.895, 2.273, 1.760], [-2.132, -1.761, 1.191], [4.823, -2.232, 5.334]], "species": ["Cr", "In", "Si", "Si"], "fractional_positions": [[0.500, 0.500, 0.250], [0.500, 0.500, 0.750], [0.000, 0.000, 0.080], [0.000, 0.000, 0.420]], "de_polymorph_ev_per_atom": 0.059, "formation_energy_uncorrected_mev_per_atom": 192, "m_tot_mub_per_cell": 1.27}



{"formula": "Cr2InSi", "functional": "PBE", "state": "relaxed", "lattice_angstrom": [[-1.950, 3.913, 2.954], [-3.960, 3.414, 0.713], [-2.987, -1.267, 2.960]], "species": ["Cr", "Cr", "In", "Si"], "fractional_positions": [[0.996, 0.996, 0.004], [0.724, 0.724, 0.776], [0.502, 0.502, 0.499], [0.278, 0.278, 0.221]], "formation_energy_uncorrected_mev_per_atom": 324, "m_tot_mub_per_cell": 0.20}



Copy entry 3 word for word.
{"formula": "Cr2InSi", "functional": "PBE", "state": "relaxed", "lattice_angstrom": [[-1.950, 3.913, 2.954], [-3.960, 3.414, 0.713], [-2.987, -1.267, 2.960]], "species": ["Cr", "Cr", "In", "Si"], "fractional_positions": [[0.996, 0.996, 0.004], [0.724, 0.724, 0.776], [0.502, 0.502, 0.499], [0.278, 0.278, 0.221]], "formation_energy_uncorrected_mev_per_atom": 324, "m_tot_mub_per_cell": 0.20}